# Ta4BC2, relaxed, DFT PBE-GGA
# - M_tot (μB per formula unit) = 0.00
# - V (Å³/atom) = 12.6
# - Fermi-level density of states (states/eV per cell) = 12.37
# - raw total energy (eV/atom) = -10.967
# - E above lowest polymorph (meV/atom) = 0.0
data_Ta4BC2
_symmetry_space_group_name_H-M 'C m c m'
_symmetry_Int_Tables_number 63
_symmetry_space_group_name_Hall '-C 2c 2'
_cell_length_a 3.202
_cell_length_b 10.238
_cell_length_c 10.749
_cell_angle_alpha 90.00
_cell_angle_beta 90.00
_cell_angle_gamma 90.00
loop_
_atom_site_label
_atom_site_type_symbol
_atom_site_fract_x
_atom_site_fract_y
_atom_site_fract_z
Ta1 Ta 0.000 0.000 0.000
Ta2 Ta 0.000 0.274 0.117
Ta3 Ta 0.000 0.444 0.750
B1 B 0.000 0.105 0.750
C1 C 0.000 0.362 0.565

# TbTa2BC4, relaxed, DFT PBE-GGA
# - M_tot (μB per formula unit) = 0.00
# - V (Å³/atom) = 11.2
# - Fermi-level density of states (states/eV per cell) = 3.99
# - raw total energy (eV/atom) = -9.279
data_TbTa2BC4
_symmetry_space_group_name_H-M 'C m c m'
_symmetry_Int_Tables_number 63
_symmetry_space_group_name_Hall '-C 2c 2'
_cell_length_a 3.166
_cell_length_b 10.709
_cell_length_c 10.534
_cell_angle_alpha 90.00
_cell_angle_beta 90.00
_cell_angle_gamma 90.00
loop_
_atom_site_label
_atom_site_type_symbol
_atom_site_fract_x
_atom_site_fract_y
_atom_site_fract_z
Tb1 Tb 0.000 0.095 0.250
Ta1 Ta 0.000 0.366 0.049
B1 B 0.000 0.173 0.750
C1 C 0.000 0.000 0.000
C2 C 0.000 0.264 0.624
C3 C 0.000 0.417 0.250

# ThTa2BC4, relaxed, DFT PBE-GGA
# - M_tot (μB per formula unit) = 0.00
# - V (Å³/atom) = 11.6
# - Fermi-level density of states (states/eV per cell) = 7.79
# - raw total energy (eV/atom) = -9.662
data_ThTa2BC4
_symmetry_space_group_name_H-M 'C m c m'
_symmetry_Int_Tables_number 63
_symmetry_space_group_name_Hall '-C 2c 2'
_cell_length_a 3.218
_cell_length_b 10.709
_cell_length_c 10.738
_cell_angle_alpha 90.00
_cell_angle_beta 90.00
_cell_angle_gamma 90.00
loop_
_atom_site_label
_atom_site_type_symbol
_atom_site_fract_x
_atom_site_fract_y
_atom_site_fract_z
Th1 Th 0.000 0.095 0.250
Ta1 Ta 0.000 0.366 0.047
B1 B 0.000 0.179 0.750
C1 C 0.000 0.000 0.000
C2 C 0.000 0.266 0.623
C3 C 0.000 0.410 0.250

# TmTa2BC4, relaxed, DFT PBE-GGA
# - M_tot (μB per formula unit) = 0.00
# - V (Å³/atom) = 11.0
# - Fermi-level density of states (states/eV per cell) = 3.75
# - raw total energy (eV/atom) = -9.270
data_TmTa2BC4
_symmetry_space_group_name_H-M 'C m c m'
_symmetry_Int_Tables_number 63
_symmetry_space_group_name_Hall '-C 2c 2'
_cell_length_a 3.143
_cell_length_b 10.650
_cell_length_c 10.480
_cell_angle_alpha 90.00
_cell_angle_beta 90.00
_cell_angle_gamma 90.00
loop_
_atom_site_label
_atom_site_type_symbol
_atom_site_fract_x
_atom_site_fract_y
_atom_site_fract_z
Tm1 Tm 0.000 0.096 0.250
Ta1 Ta 0.000 0.366 0.049
B1 B 0.000 0.170 0.750
C1 C 0.000 0.000 0.000
C2 C 0.000 0.265 0.626
C3 C 0.000 0.421 0.250

# UTa2BC4, relaxed, DFT PBE-GGA
# - M_tot (μB per formula unit) = 1.52
# - V (Å³/atom) = 11.0
# - Fermi-level density of states (states/eV per cell) = 21.45
# - raw total energy (eV/atom) = -10.088
data_UTa2BC4
_symmetry_space_group_name_H-M 'C m c m'
_symmetry_Int_Tables_number 63
_symmetry_space_group_name_Hall '-C 2c 2'
_cell_length_a 3.151
_cell_length_b 10.535
_cell_length_c 10.608
_cell_angle_alpha 90.00
_cell_angle_beta 90.00
_cell_angle_gamma 90.00
loop_
_atom_site_label
_atom_site_type_symbol
_atom_site_fract_x
_atom_site_fract_y
_atom_site_fract_z
U1 U 0.000 0.098 0.250
Ta1 Ta 0.000 0.367 0.048
B1 B 0.000 0.173 0.750
C1 C 0.000 0.000 0.000
C2 C 0.000 0.268 0.627
C3 C 0.000 0.420 0.250

# YTa2BC4, relaxed, DFT PBE-GGA
# - M_tot (μB per formula unit) = 0.00
# - V (Å³/atom) = 11.1
# - Fermi-level density of states (states/eV per cell) = 3.91
# - raw total energy (eV/atom) = -9.502
data_YTa2BC4
_symmetry_space_group_name_H-M 'C m c m'
_symmetry_Int_Tables_number 63
_symmetry_space_group_name_Hall '-C 2c 2'
_cell_length_a 3.163
_cell_length_b 10.709
_cell_length_c 10.522
_cell_angle_alpha 90.00
_cell_angle_beta 90.00
_cell_angle_gamma 90.00
loop_
_atom_site_label
_atom_site_type_symbol
_atom_site_fract_x
_atom_site_fract_y
_atom_site_fract_z
Y1 Y 0.000 0.095 0.250
Ta1 Ta 0.000 0.366 0.049
B1 B 0.000 0.172 0.750
C1 C 0.000 0.000 0.000
C2 C 0.000 0.264 0.625
C3 C 0.000 0.418 0.250

# Zr2TaBC, relaxed, DFT PBE-GGA
# - M_tot (μB per formula unit) = 0.00
# - V (Å³/atom) = 20.9
# - Fermi-level density of states (states/eV per cell) = 5.52
# - raw total energy (eV/atom) = -6.861
data_Zr2TaBC
_symmetry_space_group_name_H-M 'P 4/m m m'
_symmetry_Int_Tables_number 123
_symmetry_space_group_name_Hall '-P 4 2'
_cell_length_a 5.071
_cell_length_b 5.071
_cell_length_c 4.069
_cell_angle_alpha 90.00
_cell_angle_beta 90.00
_cell_angle_gamma 90.00
loop_
_atom_site_label
_atom_site_type_symbol
_atom_site_fract_x
_atom_site_fract_y
_atom_site_fract_z
Zr1 Zr 0.000 0.500 0.000
Ta1 Ta 0.000 0.000 0.000
B1 B 0.000 0.000 0.500
C1 C 0.500 0.500 0.500

# Tb2BC3, relaxed, DFT PBE-GGA
# - M_tot (μB per formula unit) = 0.00
# - V (Å³/atom) = 12.1
# - Fermi-level density of states (states/eV per cell) = 10.29
# - raw total energy (eV/atom) = -7.431
data_Tb2BC3
_symmetry_space_group_name_H-M 'F m m m'
_symmetry_Int_Tables_number 69
_symmetry_space_group_name_Hall '-F 2 2'
_cell_length_a 6.858
_cell_length_b 7.692
_cell_length_c 11.038
_cell_angle_alpha 90.00
_cell_angle_beta 90.00
_cell_angle_gamma 90.00
loop_
_atom_site_label
_atom_site_type_symbol
_atom_site_fract_x
_atom_site_fract_y
_atom_site_fract_z
Tb1 Tb 0.210 0.000 0.000
Tb2 Tb 0.250 0.250 0.250
B1 B 0.000 0.000 0.342
C1 C 0.000 0.000 0.204
C2 C 0.000 0.169 0.435

# Tb10B7C10, relaxed, DFT PBE-GGA
# - M_tot (μB per formula unit) = 0.00
# - V (Å³/atom) = 14.4
# - Fermi-level density of states (states/eV per cell) = 42.33
# - raw total energy (eV/atom) = -7.282
data_Tb10B7C10
_symmetry_space_group_name_H-M 'C 1 2/c 1'
_symmetry_Int_Tables_number 15
_symmetry_space_group_name_Hall '-C 2yc'
_cell_length_a 11.507
_cell_length_b 11.480
_cell_length_c 23.895
_cell_angle_alpha 90.00
_cell_angle_beta 98.92
_cell_angle_gamma 90.00
loop_
_atom_site_label
_atom_site_type_symbol
_atom_site_fract_x
_atom_site_fract_y
_atom_site_fract_z
Tb1 Tb 0.004 0.091 0.420
Tb2 Tb 0.035 0.414 0.684
Tb3 Tb 0.077 0.107 0.818
Tb4 Tb 0.096 0.206 0.580
Tb5 Tb 0.107 0.391 0.420
Tb6 Tb 0.133 0.296 0.184
Tb7 Tb 0.175 0.184 0.316
Tb8 Tb 0.194 0.491 0.078
Tb9 Tb 0.205 0.310 0.920
Tb10 Tb 0.233 0.011 0.698
B1 B 0.000 0.084 0.250
B2 B 0.000 0.394 0.250
B3 B 0.028 0.395 0.975
B4 B 0.073 0.300 0.025
B5 B 0.126 0.097 0.978
B6 B 0.154 0.259 0.750
B7 B 0.174 0.005 0.030
B8 B 0.226 0.203 0.475
C1 C 0.004 0.409 0.914
C2 C 0.031 0.090 0.193
C3 C 0.068 0.388 0.307
C4 C 0.097 0.289 0.086
C5 C 0.102 0.109 0.916
C6 C 0.131 0.212 0.692
C7 C 0.167 0.309 0.807
C8 C 0.199 0.009 0.591
C9 C 0.202 0.191 0.414
C10 C 0.229 0.489 0.184

# TbB2C2, relaxed, DFT PBE-GGA
# - M_tot (μB per formula unit) = 0.00
# - V (Å³/atom) = 10.5
# - Fermi-level density of states (states/eV per cell) = 1.10
# - raw total energy (eV/atom) = -7.596
data_TbB2C2
_symmetry_space_group_name_H-M 'P 42/m m c'
_symmetry_Int_Tables_number 131
_symmetry_space_group_name_Hall '-P 4c 2'
_cell_length_a 3.801
_cell_length_b 3.801
_cell_length_c 7.261
_cell_angle_alpha 90.00
_cell_angle_beta 90.00
_cell_angle_gamma 90.00
loop_
_atom_site_label
_atom_site_type_symbol
_atom_site_fract_x
_atom_site_fract_y
_atom_site_fract_z
Tb1 Tb 0.000 0.000 0.250
B1 B 0.215 0.500 0.000
C1 C 0.188 0.500 0.500

# Tb2B3C, relaxed, DFT PBE-GGA
# - M_tot (μB per formula unit) = 0.00
# - V (Å³/atom) = 11.5
# - Fermi-level density of states (states/eV per cell) = 1.19
# - raw total energy (eV/atom) = -6.854
data_Tb2B3C
_symmetry_space_group_name_H-M 'P m m 2'
_symmetry_Int_Tables_number 25
_symmetry_space_group_name_Hall 'P 2 -2'
_cell_length_a 3.170
_cell_length_b 3.970
_cell_length_c 5.489
_cell_angle_alpha 90.00
_cell_angle_beta 90.00
_cell_angle_gamma 90.00
loop_
_atom_site_label
_atom_site_type_symbol
_atom_site_fract_x
_atom_site_fract_y
_atom_site_fract_z
Tb1 Tb 0.000 0.000 0.000
Tb2 Tb 0.500 0.000 0.491
B1 B 0.000 0.500 0.325
B2 B 0.000 0.500 0.667
B3 B 0.500 0.500 0.836
C1 C 0.500 0.500 0.156

# Tb3B3C2, relaxed, DFT PBE-GGA
# - M_tot (μB per formula unit) = 0.00
# - V (Å³/atom) = 13.6
# - Fermi-level density of states (states/eV per cell) = 10.41
# - raw total energy (eV/atom) = -6.672
data_Tb3B3C2
_symmetry_space_group_name_H-M 'I m m m'
_symmetry_Int_Tables_number 71
_symmetry_space_group_name_Hall '-I 2 2'
_cell_length_a 2.990
_cell_length_b 5.009
_cell_length_c 14.539
_cell_angle_alpha 90.00
_cell_angle_beta 90.00
_cell_angle_gamma 90.00
loop_
_atom_site_label
_atom_site_type_symbol
_atom_site_fract_x
_atom_site_fract_y
_atom_site_fract_z
Tb1 Tb 0.000 0.000 0.000
Tb2 Tb 0.000 0.500 0.164
B1 B 0.000 0.000 0.500
B2 B 0.000 0.500 0.346
C1 C 0.000 0.000 0.186